[1]
{
  "formula": "ThSbTePd",
  "functional": "GGA-PBE",
  "state": "optimized geometry",
  "dos_at_fermi_per_ev_cell": 3.22,
  "raw_formation_energy_ev_per_atom": -0.89,
  "sg": "No. 129",
  "dft_energy_ev_per_atom": -5.864,
  "cell": [[4.578, 0.000, 0.000], [0.000, 4.578, 0.000], [0.000, 0.000, 9.514]],
  "species": ["Th", "Th", "Sb", "Sb", "Te", "Te", "Pd", "Pd"],
  "frac_coords": [[0.250, 0.250, 0.243], [0.750, 0.750, 0.757], [0.250, 0.250, 0.832], [0.750, 0.750, 0.168], [0.250, 0.750, 0.500], [0.750, 0.250, 0.500], [0.250, 0.750, 0.000], [0.750, 0.250, 0.000]]
}

[2]
{
  "formula": "CsLi2TlPb",
  "functional": "GGA-PBE",
  "state": "optimized geometry",
  "dos_at_fermi_per_ev_cell": 1.57,
  "sg": "No. 123",
  "dft_energy_ev_per_atom": -2.210,
  "cell": [[5.604, 0.000, 0.000], [0.000, 5.604, 0.000], [0.000, 0.000, 6.074]],
  "species": ["Cs", "Li", "Li", "Tl", "Pb"],
  "frac_coords": [[0.000, 0.000, 0.000], [0.000, 0.500, 0.500], [0.500, 0.000, 0.500], [0.500, 0.500, 0.000], [0.500, 0.500, 0.500]]
}

[3]
{
  "formula": "Li2TaBe",
  "functional": "GGA-PBE",
  "state": "optimized geometry",
  "dos_at_fermi_per_ev_cell": 2.05,
  "sg": "No. 123",
  "dft_energy_ev_per_atom": -4.384,
  "cell": [[2.678, 0.000, 0.000], [0.000, 2.678, 0.000], [0.000, 0.000, 7.938]],
  "species": ["Li", "Li", "Ta", "Be"],
  "frac_coords": [[0.000, 0.000, 0.210], [0.000, 0.000, 0.790], [0.500, 0.500, 0.500], [0.500, 0.500, 0.000]]
}